No. 1
Compound: Cs2YNp2Se6
Source: the Alexandria database
Functional: PBE
Structure: relaxed

Lattice parameters (Å, degrees): 7.287 7.287 8.897 97.73 97.73 120.04
Element x y z (fractional)
Cs: 0.166 0.834 0.000
Se: 0.604 0.941 0.319
Se: 0.059 0.396 0.681
Se: 0.724 0.724 0.681
Se: 0.276 0.276 0.319
Se: 0.941 0.604 0.319
Se: 0.396 0.059 0.681
Y: 0.000 0.000 0.500
Cs: 0.834 0.166 0.000
Np: 0.666 0.334 0.500
Np: 0.334 0.666 0.500

Computed properties:
* size of the total moment: 7.0 μB/cell
* symmetry: No. 12
* theoretical density: 5.5 g/cm³
* energy relative to the elements, uncorrected: -1.416 eV per atom
* density of states at the Fermi level: 19.69 states/eV per cell

No. 2
Compound: Cs3Y3NpSe8
Source: the Alexandria database
Functional: PBE
Structure: relaxed

Lattice parameters (Å, degrees): 8.436 8.436 9.826 115.46 90.00 120.00
Element x y z (fractional)
Cs: 0.000 0.500 0.000
Cs: 0.500 0.500 0.000
Se: 0.225 0.957 0.682
Y: 0.500 0.500 0.500
Se: 0.775 0.550 0.318
Y: 0.500 0.000 0.500
Se: 0.272 0.544 0.316
Np: 0.000 0.000 0.500
Se: 0.268 0.043 0.318
Se: 0.728 0.456 0.684
Y: 0.000 0.500 0.500
Se: 0.775 0.043 0.318
Cs: 0.000 0.000 0.000
Se: 0.732 0.957 0.682
Se: 0.225 0.450 0.682

Computed properties:
* size of the total moment: 3.0 μB/cell
* symmetry: No. 12
* theoretical density: 4.8 g/cm³
* energy relative to the elements, uncorrected: -1.624 eV per atom
* density of states at the Fermi level: 3.36 states/eV per cell

No. 3
Compound: Cs2Y2NpSe6
Source: the Alexandria database
Functional: PBE
Structure: relaxed

Lattice parameters (Å, degrees): 7.261 7.261 8.938 97.99 97.99 119.95
Element x y z (fractional)
Se: 0.390 0.062 0.682
Se: 0.062 0.390 0.682
Cs: 0.831 0.169 0.000
Y: 0.333 0.667 0.500
Np: 0.000 0.000 0.500
Se: 0.266 0.266 0.318
Cs: 0.169 0.831 0.000
Se: 0.734 0.734 0.682
Y: 0.667 0.333 0.500
Se: 0.938 0.610 0.318
Se: 0.610 0.938 0.318

Computed properties:
* size of the total moment: 3.0 μB/cell
* symmetry: No. 12
* theoretical density: 4.9 g/cm³
* energy relative to the elements, uncorrected: -1.585 eV per atom
* density of states at the Fermi level: 4.26 states/eV per cell

No. 4
Compound: Cs3YNp2Se6
Source: the Alexandria database
Functional: PBE
Structure: relaxed

Lattice parameters (Å, degrees): 7.472 7.472 8.738 98.19 98.19 120.00
Element x y z (fractional)
Se: 0.730 0.730 0.186
Se: 0.270 0.270 0.814
Np: 0.333 0.667 0.000
Y: 0.000 0.000 0.000
Se: 0.393 0.062 0.186
Se: 0.938 0.607 0.814
Se: 0.607 0.938 0.814
Np: 0.667 0.333 0.000
Cs: 0.834 0.166 0.500
Se: 0.062 0.393 0.186
Cs: 0.500 0.500 0.500
Cs: 0.166 0.834 0.500

Computed properties:
* size of the total moment: 8.0 μB/cell
* symmetry: No. 12
* theoretical density: 5.9 g/cm³
* energy relative to the elements, uncorrected: -1.389 eV per atom
* density of states at the Fermi level: 19.74 states/eV per cell